# Rb2MoCI6 (PBE-GGA, relaxed)
# E_form (uncorrected) = -0.38 eV/f.u.
data_Rb2MoCI6
_cell_length_a 7.755
_cell_length_b 7.755
_cell_length_c 8.391
_cell_angle_alpha 62.48
_cell_angle_beta 62.48
_cell_angle_gamma 90.00
_space_group_name_H-M_alt 'P 1'
_space_group_IT_number 1
loop_
_space_group_symop_operation_xyz
'x,y,z'
loop_
_atom_site_label
_atom_site_type_symbol
_atom_site_fract_x
_atom_site_fract_y
_atom_site_fract_z
_atom_site_occupancy
I1 I 0.221 0.221 0.558 1
I2 I 0.779 0.779 0.442 1
I3 I 0.260 0.260 0.000 1
I4 I 0.740 0.740 0.000 1
I5 I 0.740 0.260 0.000 1
I6 I 0.260 0.740 0.000 1
Mo1 Mo 0.000 0.000 0.000 1
C1 C 0.500 0.500 0.000 1
Rb1 Rb 0.750 0.250 0.500 1
Rb2 Rb 0.250 0.750 0.500 1



# ScMo2Pt (PBE-GGA, relaxed)
# DFT formation energy = -0.03 eV per atom
data_ScMo2Pt
_cell_length_a 2.763
_cell_length_b 2.763
_cell_length_c 8.859
_cell_angle_alpha 90.00
_cell_angle_beta 90.00
_cell_angle_gamma 94.16
_space_group_name_H-M_alt 'P 1'
_space_group_IT_number 1
loop_
_space_group_symop_operation_xyz
'x,y,z'
loop_
_atom_site_label
_atom_site_type_symbol
_atom_site_fract_x
_atom_site_fract_y
_atom_site_fract_z
_atom_site_occupancy
Mo1 Mo 0.000 0.000 0.017 1
Mo2 Mo 0.000 0.000 0.483 1
Pt1 Pt 0.500 0.500 0.250 1
Sc1 Sc 0.500 0.500 0.750 1



# Li2LaSi (PBE-GGA, relaxed)
# E_form (uncorrected) = -0.48 eV/f.u.
data_Li2LaSi
_cell_length_a 4.408
_cell_length_b 4.408
_cell_length_c 10.068
_cell_angle_alpha 77.35
_cell_angle_beta 77.35
_cell_angle_gamma 90.00
_space_group_name_H-M_alt 'P 1'
_space_group_IT_number 1
loop_
_space_group_symop_operation_xyz
'x,y,z'
loop_
_atom_site_label
_atom_site_type_symbol
_atom_site_fract_x
_atom_site_fract_y
_atom_site_fract_z
_atom_site_occupancy
Si1 Si 0.500 0.500 0.000 1
Si2 Si 0.250 0.750 0.500 1
Li1 Li 0.494 0.125 0.250 1
Li2 Li 0.256 0.625 0.250 1
Li3 Li 0.375 0.506 0.750 1
Li4 Li 0.875 0.744 0.750 1
La1 La 0.000 0.000 0.000 1
La2 La 0.750 0.250 0.500 1



# K2TlBr2 (PBE-GGA, relaxed)
# E_form (uncorrected) = -5.78 eV/f.u.
data_K2TlBr2
_cell_length_a 9.209
_cell_length_b 9.209
_cell_length_c 4.143
_cell_angle_alpha 90.00
_cell_angle_beta 90.00
_cell_angle_gamma 90.00
_space_group_name_H-M_alt 'P 1'
_space_group_IT_number 1
loop_
_space_group_symop_operation_xyz
'x,y,z'
loop_
_atom_site_label
_atom_site_type_symbol
_atom_site_fract_x
_atom_site_fract_y
_atom_site_fract_z
_atom_site_occupancy
Tl1 Tl 0.000 0.000 0.000 1
Tl2 Tl 0.500 0.500 0.000 1
K1 K 0.151 0.651 0.500 1
K2 K 0.651 0.849 0.500 1
K3 K 0.849 0.349 0.500 1
K4 K 0.349 0.151 0.500 1
Br1 Br 0.349 0.849 0.000 1
Br2 Br 0.849 0.651 0.000 1
Br3 Br 0.651 0.151 0.000 1
Br4 Br 0.151 0.349 0.000 1



# CuSi2As (PBE-GGA, relaxed)
# E_form (uncorrected) = 1.41 eV/f.u.
data_CuSi2As
_cell_length_a 2.864
_cell_length_b 3.601
_cell_length_c 6.359
_cell_angle_alpha 90.00
_cell_angle_beta 90.00
_cell_angle_gamma 90.00
_space_group_name_H-M_alt 'P 1'
_space_group_IT_number 1
loop_
_space_group_symop_operation_xyz
'x,y,z'
loop_
_atom_site_label
_atom_site_type_symbol
_atom_site_fract_x
_atom_site_fract_y
_atom_site_fract_z
_atom_site_occupancy
As1 As 0.000 0.000 0.574 1
Cu1 Cu 0.500 0.500 0.771 1
Si1 Si 0.000 0.000 0.983 1
Si2 Si 0.500 0.500 0.173 1



# Er6Al2Ga (PBE-GGA, relaxed)
# DFT formation energy = -0.10 eV per atom
data_Er6Al2Ga
_cell_length_a 4.981
_cell_length_b 7.043
_cell_length_c 8.618
_cell_angle_alpha 114.12
_cell_angle_beta 106.80
_cell_angle_gamma 90.00
_space_group_name_H-M_alt 'P 1'
_space_group_IT_number 1
loop_
_space_group_symop_operation_xyz
'x,y,z'
loop_
_atom_site_label
_atom_site_type_symbol
_atom_site_fract_x
_atom_site_fract_y
_atom_site_fract_z
_atom_site_occupancy
Er1 Er 0.165 0.414 0.331 1
Er2 Er 0.835 0.083 0.669 1
Er3 Er 0.835 0.586 0.669 1
Er4 Er 0.500 0.247 0.000 1
Er5 Er 0.165 0.917 0.331 1
Er6 Er 0.500 0.753 0.000 1
Al1 Al 0.666 0.666 0.332 1
Al2 Al 0.334 0.334 0.668 1
Ga1 Ga 0.000 0.000 0.000 1